K2NdBr5 after structural relaxation. Source: Alexandria via LeMat-Bulk, functional PBEsol.

abc: 13.2174 9.0604 8.3655
angles: 90.00 90.00 90.00
Positions (direct):
K 0.1727 0.0047 0.0566
K 0.1727 0.4953 0.0566
K 0.3273 0.5047 0.5566
K 0.3273 0.9953 0.5566
K 0.6727 0.0047 0.4434
K 0.6727 0.4953 0.4434
K 0.8273 0.5047 0.9434
K 0.8273 0.9953 0.9434
Nd 0.0068 0.2500 0.5798
Nd 0.4932 0.7500 0.0798
Nd 0.5068 0.2500 0.9202
Nd 0.9932 0.7500 0.4202
Br 0.0074 0.2500 0.9300
Br 0.0773 0.5463 0.6689
Br 0.0773 0.9537 0.6689
Br 0.1828 0.2500 0.3723
Br 0.2075 0.7500 0.3366
Br 0.2925 0.2500 0.8366
Br 0.3172 0.7500 0.8723
Br 0.4227 0.0463 0.1689
Br 0.4227 0.4537 0.1689
Br 0.4926 0.7500 0.4300
Br 0.5074 0.2500 0.5700
Br 0.5773 0.5463 0.8311
Br 0.5773 0.9537 0.8311
Br 0.6828 0.2500 0.1277
Br 0.7075 0.7500 0.1634
Br 0.7925 0.2500 0.6634
Br 0.8172 0.7500 0.6277
Br 0.9227 0.0463 0.3311
Br 0.9227 0.4537 0.3311
Br 0.9926 0.7500 0.0700

* E_form (uncorrected): -1847 meV per atom
* total DFT energy (no corrections): -3.945 eV/atom
* ρ: 4.124 g cm⁻³
* SG: Pnma, No. 62
* DOS(E_F): 0.000 states/eV per atom